[1]
Computed, not measured: NaBeTlSb2 after structural relaxation at the PBE level of DFT.

Lattice parameters (Å, degrees): 5.9482 5.9482 4.5224 90.00 90.00 90.00
Space group P4/mmm (No. 123)
Symmetry-distinct sites (fractional):
Na 0.0000 0.0000 0.0000 x1
Be 0.5000 0.5000 0.0000 x1
Tl 0.5000 0.5000 0.5000 x1
Sb 0.0000 0.5000 0.5000 x2

Values from the calculation:
Energy relative to the elements, uncorrected = 0.667 eV/atom
Magnetization = 0.0 μB per formula unit
Calculated density = 4.98 Mg/m³
D(E_F) = 3.9 states/eV/f.u.


[2]
Computed, not measured: SrAcAg2Sn2 after structural relaxation at the PBE level of DFT.

Lattice parameters (Å, degrees): 4.8795 4.8795 8.5058 90.00 90.00 120.00
Space group P-3m1 (No. 164)
Symmetry-distinct sites (fractional):
Sr 0.0000 0.0000 0.0000 x1
Ac 0.0000 0.0000 0.5000 x1
Ag 0.3333 0.6667 0.2414 x2
Sn 0.3333 0.6667 0.7416 x2

Values from the calculation:
Magnetization = 0.0 μB per formula unit
Calculated density = 7.27 Mg/m³
D(E_F) = 4.5 states/eV/f.u.
Energy relative to the elements = -545 meV/atom


[3]
Computed, not measured: NaPdW3 after structural relaxation at the PBE level of DFT.

Lattice parameters (Å, degrees): 4.8189 4.8189 4.8189 90.00 90.00 90.00
Space group Pm-3m (No. 221)
Symmetry-distinct sites (fractional):
Na 0.0000 0.0000 0.0000 x1
Pd 0.5000 0.5000 0.5000 x1
W 0.0000 0.5000 0.5000 x3

Values from the calculation:
Magnetization = 0.0 μB per formula unit
Calculated density = 10.10 Mg/m³
Offset from the most stable computed form = 0 meV per atom
D(E_F) = 7.9 states/eV/f.u.
Energy relative to the elements = 2367 meV/atom


[4]
Computed, not measured: LaPm6Nd2 after structural relaxation at the PBE level of DFT.

Lattice parameters (Å, degrees): 10.0400 17.4696 3.5721 90.00 90.00 90.00
Space group Cmmm (No. 65)
Symmetry-distinct sites (fractional):
La 0.0000 0.0000 0.0000 x2
Pm 0.1663 0.5000 0.5000 x4
Pm 0.1676 0.1672 0.5000 x8
Nd 0.0000 0.3334 0.0000 x4

Values from the calculation:
Magnetization = 0.0 μB per formula unit
Calculated density = 6.88 Mg/m³
Offset from the most stable computed form = 0 meV per atom
D(E_F) = 13.2 states/eV/f.u.
Energy relative to the elements = 50 meV/atom


[5]
Computed, not measured: NaCa3Ta after structural relaxation at the PBE level of DFT.

Lattice parameters (Å, degrees): 5.7747 5.7747 5.7747 90.00 90.00 90.00
Space group Pm-3m (No. 221)
Symmetry-distinct sites (fractional):
Na 0.0000 0.0000 0.0000 x1
Ca 0.0000 0.5000 0.5000 x3
Ta 0.5000 0.5000 0.5000 x1

Values from the calculation:
Magnetization = 0.2 μB per formula unit
Calculated density = 2.80 Mg/m³
Offset from the most stable computed form = 0 meV per atom
D(E_F) = 7.7 states/eV/f.u.
Energy relative to the elements = 912 meV/atom


[6]
Computed, not measured: KFeSi2 after structural relaxation at the PBE level of DFT.

Lattice parameters (Å, degrees): 7.7156 2.9785 7.7431 90.00 114.99 90.00
Space group Cm (No. 8)
Symmetry-distinct sites (fractional):
K 0.0000 0.0000 0.0000 x2
Fe 0.2742 0.5000 0.4914 x2
Si 0.1229 0.0000 0.6282 x2
Si 0.4286 0.0000 0.3616 x2

Values from the calculation:
Energy relative to the elements, uncorrected = 0.061 eV/atom
Magnetization = 1.7 μB per formula unit
Calculated density = 3.11 Mg/m³
Offset from the most stable computed form = 15 meV per atom
D(E_F) = 2.4 states/eV/f.u.


[7]
Computed, not measured: Ce2Th2Sc3 after structural relaxation at the PBE level of DFT.

Lattice parameters (Å, degrees): 13.9686 3.4971 8.3906 90.00 109.00 90.00
Space group C2/m (No. 12)
Symmetry-distinct sites (fractional):
Ce 0.2142 0.0000 0.1462 x4
Th 0.1369 0.5000 0.4323 x4
Sc 0.0000 0.5000 0.0000 x2
Sc 0.0764 0.0000 0.7342 x4

Values from the calculation:
Magnetization = 0.0 μB per formula unit
Calculated density = 7.53 Mg/m³
D(E_F) = 13.7 states/eV/f.u.
Energy relative to the elements = 62 meV/atom


[8]
Computed, not measured: Y2Zn2PdPt5 after structural relaxation at the PBE level of DFT.

Lattice parameters (Å, degrees): 9.4599 9.4599 3.8984 90.00 90.00 90.00
Space group P4/mbm (No. 127)
Symmetry-distinct sites (fractional):
Y 0.1787 0.3213 0.0000 x4
Zn 0.1202 0.6202 0.0000 x4
Pd 0.0000 0.0000 0.0000 x2
Pt 0.0000 0.5000 0.5000 x2
Pt 0.0668 0.7958 0.5000 x8

Values from the calculation:
Magnetization = 0.0 μB per formula unit
Calculated density = 13.24 Mg/m³
D(E_F) = 3.8 states/eV/f.u.
Energy relative to the elements = -791 meV/atom


[9]
Computed, not measured: Pm5Pr2Y5 after structural relaxation at the PBE level of DFT.

Lattice parameters (Å, degrees): 15.3816 5.1396 11.4618 90.00 116.56 90.00
Space group C2/m (No. 12)
Symmetry-distinct sites (fractional):
Pm 0.0000 0.0000 0.0000 x2
Pm 0.0844 0.0000 0.7506 x4
Pm 0.1664 0.0000 0.4997 x4
Pr 0.0828 0.5000 0.2495 x4
Y 0.0000 0.5000 0.5000 x2
Y 0.1679 0.5000 0.0008 x4
Y 0.2495 0.5000 0.7503 x4

Values from the calculation:
Magnetization = 0.0 μB per formula unit
Calculated density = 5.95 Mg/m³
D(E_F) = 17.8 states/eV/f.u.
Energy relative to the elements = 15 meV/atom


[10]
Computed, not measured: Sr4ReN5 after structural relaxation at the PBE level of DFT.

Lattice parameters (Å, degrees): 7.9009 7.9009 5.4353 90.00 90.00 90.00
Space group I4 (No. 79)
Symmetry-distinct sites (fractional):
Sr 0.1106 0.2986 0.0000 x8
Re 0.0000 0.0000 0.4394 x2
N 0.0000 0.0000 0.1069 x2
N 0.0774 0.2409 0.5089 x8

Values from the calculation:
Energy relative to the elements, uncorrected = -0.634 eV/atom
Magnetization = 0.0 μB per formula unit
Calculated density = 5.94 Mg/m³


[11]
Computed, not measured: TlCd2Br after structural relaxation at the PBE level of DFT.

Lattice parameters (Å, degrees): 3.7367 3.7367 8.0619 90.00 90.00 90.00
Space group P4/mmm (No. 123)
Symmetry-distinct sites (fractional):
Tl 0.0000 0.0000 0.0000 x1
Cd 0.5000 0.5000 0.2566 x2
Br 0.0000 0.0000 0.5000 x1

Values from the calculation:
Energy relative to the elements, uncorrected = -0.154 eV/atom
Magnetization = 0.0 μB per formula unit
Calculated density = 7.51 Mg/m³
Offset from the most stable computed form = 145 meV per atom
D(E_F) = 1.0 states/eV/f.u.


[12]
Computed, not measured: Ac3ThS6 after structural relaxation at the PBE level of DFT.

Lattice parameters (Å, degrees): 7.2559 7.8953 12.2658 90.00 122.65 90.00
Space group P2_1/c (No. 14)
Symmetry-distinct sites (fractional):
Ac 0.0000 0.0000 0.0000 x2
Ac 0.2044 0.0783 0.7282 x4
Th 0.5000 0.0000 0.5000 x2
S 0.1318 0.1719 0.4509 x4
S 0.2321 0.7074 0.4069 x4
S 0.4103 0.0825 0.2542 x4

Values from the calculation:
Energy relative to the elements, uncorrected = -2.006 eV/atom
Magnetization = 0.0 μB per formula unit
Calculated density = 6.21 Mg/m³
D(E_F) = 5.1 states/eV/f.u.


[13]
Computed, not measured: Er6Sb3AsP2 after structural relaxation at the PBE level of DFT.

Lattice parameters (Å, degrees): 18.2855 4.1447 8.4131 90.00 104.42 90.00
Space group C2/m (No. 12)
Symmetry-distinct sites (fractional):
Er 0.0069 0.0000 0.2416 x4
Er 0.1638 0.5000 0.0991 x4
Er 0.1726 0.5000 0.5690 x4
Sb 0.0000 0.5000 0.5000 x2
Sb 0.1654 0.0000 0.8322 x4
As 0.0000 0.5000 0.0000 x2
P 0.1674 0.0000 0.3340 x4

Values from the calculation:
Energy relative to the elements, uncorrected = -1.307 eV/atom
Magnetization = 0.0 μB per formula unit
Calculated density = 8.10 Mg/m³
D(E_F) = 1.9 states/eV/f.u.


[14]
Computed, not measured: CdHg4Os after structural relaxation at the PBE level of DFT.

Lattice parameters (Å, degrees): 8.0310 8.0310 8.0310 90.00 90.00 90.00
Space group F-43m (No. 216)
Symmetry-distinct sites (fractional):
Cd 0.0000 0.0000 0.0000 x4
Hg 0.1245 0.1245 0.6245 x16
Os 0.2500 0.2500 0.2500 x4

Values from the calculation:
Magnetization = 0.0 μB per formula unit
Calculated density = 14.17 Mg/m³
D(E_F) = 4.5 states/eV/f.u.
Energy relative to the elements = 950 meV/atom


[15]
Computed, not measured: Pr2SmAg5 after structural relaxation at the PBE level of DFT.

Lattice parameters (Å, degrees): 5.1935 5.1935 14.5720 90.00 90.00 90.00
Space group I4/mmm (No. 139)
Symmetry-distinct sites (fractional):
Pr 0.0000 0.0000 0.2291 x4
Sm 0.0000 0.0000 0.5000 x2
Ag 0.0000 0.0000 0.0000 x2
Ag 0.0000 0.5000 0.1127 x8

Values from the calculation:
Magnetization = 0.0 μB per formula unit
Calculated density = 8.21 Mg/m³
D(E_F) = 6.1 states/eV/f.u.
Energy relative to the elements = -196 meV/atom


[16]
Computed, not measured: CeErU after structural relaxation at the PBE level of DFT.

Lattice parameters (Å, degrees): 12.5683 4.8372 5.3130 90.00 91.35 90.00
Space group C2/m (No. 12)
Symmetry-distinct sites (fractional):
Ce 0.1477 0.0000 0.3078 x4
Er 0.0778 0.5000 0.7527 x4
U 0.2428 0.5000 0.2246 x4

Values from the calculation:
Magnetization = 1.3 μB per formula unit
Calculated density = 11.22 Mg/m³
Offset from the most stable computed form = 21 meV per atom
D(E_F) = 7.9 states/eV/f.u.
Energy relative to the elements = 309 meV/atom


[17]
Computed, not measured: BeTlBr2 after structural relaxation at the PBE level of DFT.

Lattice parameters (Å, degrees): 4.2515 4.2515 14.4407 90.00 90.00 90.00
Space group I-4m2 (No. 119)
Symmetry-distinct sites (fractional):
Be 0.0000 0.0000 0.0000 x2
Tl 0.0000 0.5000 0.2500 x2
Br 0.0000 0.0000 0.5000 x2
Br 0.0000 0.5000 0.7500 x2

Values from the calculation:
Energy relative to the elements, uncorrected = 0.183 eV/atom
Magnetization = 0.0 μB per formula unit
Calculated density = 4.75 Mg/m³
Offset from the most stable computed form = 656 meV per atom
D(E_F) = 1.6 states/eV/f.u.


[18]
Computed, not measured: LaCe4Co4 after structural relaxation at the PBE level of DFT.

Lattice parameters (Å, degrees): 8.3199 8.3199 5.7507 90.00 90.00 90.00
Space group P4_2/n (No. 86, origin choice 2)
Symmetry-distinct sites (fractional):
La 0.2500 0.2500 0.2500 x2
Ce 0.0580 0.6674 0.1821 x8
Co 0.0539 0.6034 0.6615 x8

Values from the calculation:
Magnetization = 0.0 μB per formula unit
Calculated density = 7.80 Mg/m³
D(E_F) = 12.5 states/eV/f.u.
Energy relative to the elements = -153 meV/atom


[19]
Computed, not measured: Tl2As after structural relaxation at the PBE level of DFT.

Lattice parameters (Å, degrees): 11.6733 4.5482 8.6709 90.00 127.70 90.00
Space group C2/m (No. 12)
Symmetry-distinct sites (fractional):
Tl 0.1066 0.0000 0.3404 x4
Tl 0.1984 0.5000 0.1290 x4
As 0.0736 0.5000 0.6784 x4

Values from the calculation:
Magnetization = 0.0 μB per formula unit
Calculated density = 8.82 Mg/m³
Offset from the most stable computed form = 22 meV per atom
D(E_F) = 1.3 states/eV/f.u.
Energy relative to the elements = 43 meV/atom


[20]
Computed, not measured: PuSbSe4 after structural relaxation at the PBE level of DFT.

Lattice parameters (Å, degrees): 6.7105 6.9770 7.1384 90.00 97.04 90.00
Space group P2_1/c (No. 14)
Symmetry-distinct sites (fractional):
Pu 0.0000 0.0000 0.0000 x2
Sb 0.5000 0.0000 0.5000 x2
Se 0.1630 0.1792 0.3448 x4
Se 0.2896 0.7177 0.2579 x4

Values from the calculation:
Energy relative to the elements, uncorrected = -0.582 eV/atom
Magnetization = 4.4 μB per formula unit
Calculated density = 6.82 Mg/m³
D(E_F) = 8.4 states/eV/f.u.


[21]
Computed, not measured: Gd2ZrSc after structural relaxation at the PBE level of DFT.

Lattice parameters (Å, degrees): 3.2983 3.2983 35.2524 90.00 90.00 120.00
Space group R-3m (No. 166, hexagonal axes)
Symmetry-distinct sites (fractional):
Gd 0.0000 0.0000 0.0884 x6
Zr 0.0000 0.0000 0.0000 x3
Sc 0.0000 0.0000 0.5000 x3

Values from the calculation:
Magnetization = 14.6 μB per formula unit
Calculated density = 6.76 Mg/m³
Offset from the most stable computed form = 189 meV per atom
D(E_F) = 5.3 states/eV/f.u.
Energy relative to the elements = 284 meV/atom


[22]
Computed, not measured: LaAl2Br after structural relaxation at the PBE level of DFT.

Lattice parameters (Å, degrees): 3.6095 5.2213 5.7172 90.00 90.00 90.00
Space group Pmmm (No. 47)
Symmetry-distinct sites (fractional):
La 0.0000 0.0000 0.0000 x1
Al 0.5000 0.5000 0.2470 x2
Br 0.0000 0.0000 0.5000 x1

Values from the calculation:
Energy relative to the elements, uncorrected = -0.224 eV/atom
Magnetization = 0.0 μB per formula unit
Calculated density = 4.20 Mg/m³
Offset from the most stable computed form = 366 meV per atom
D(E_F) = 3.5 states/eV/f.u.


[23]
Computed, not measured: NbTc after structural relaxation at the PBE level of DFT.

Lattice parameters (Å, degrees): 10.5032 4.7297 5.3308 90.00 90.00 90.00
Space group Pnma (No. 62)
Symmetry-distinct sites (fractional):
Nb 0.0665 0.2500 0.0880 x4
Nb 0.1876 0.7500 0.2602 x4
Tc 0.0689 0.2500 0.5877 x4
Tc 0.1721 0.7500 0.7627 x4

Values from the calculation:
Magnetization = 0.0 μB per formula unit
Calculated density = 9.58 Mg/m³
D(E_F) = 2.0 states/eV/f.u.
Energy relative to the elements = -30 meV/atom


[24]
Computed, not measured: IrRhPb2 after structural relaxation at the PBE level of DFT.

Lattice parameters (Å, degrees): 3.2944 3.2944 8.1900 90.00 90.00 90.00
Space group P4mm (No. 99)
Symmetry-distinct sites (fractional):
Ir 0.0000 0.0000 0.0000 x1
Rh 0.5000 0.5000 0.8472 x1
Pb 0.0000 0.0000 0.6157 x1
Pb 0.5000 0.5000 0.2347 x1

Values from the calculation:
Magnetization = 0.0 μB per formula unit
Calculated density = 13.25 Mg/m³
Offset from the most stable computed form = 67 meV per atom
D(E_F) = 5.1 states/eV/f.u.
Energy relative to the elements = 263 meV/atom


The evaluated VASP energy for the records listed, in turn: -2.464, -3.794, -6.708, -4.724, -2.923, -5.041, -6.467, -5.879, -5.454, -6.714, -1.622, -6.457, -5.908, -1.276, -3.763, -6.953, -2.176, -6.496, -3.085, -5.980, -10.477, -3.745, -10.248, -5.644 eV per atom.